UMn2IO8: optimized geometry, GGA+U.

Unit cell a=4.896 b=4.896 c=6.622 alpha=90.00 beta=90.00 gamma=93.67
Each line ends with the local moment (μB).
Atoms (fractional coordinates):
U1 0.000 0.000 0.500  0.20
Mn1 0.500 0.500 0.757  4.39
Mn2 0.500 0.500 0.243  4.39
I1 0.000 0.000 0.000  0.03
O1 0.188 0.812 0.248  0.00
O2 0.695 0.695 0.000  -0.10
O3 0.812 0.188 0.248  0.00
O4 0.812 0.188 0.752  0.00
O5 0.305 0.305 0.000  -0.10
O6 0.188 0.812 0.752  0.00
O7 0.695 0.695 0.500  -0.05
O8 0.305 0.305 0.500  -0.05

As for the calculated total energy: -87.52 eV for the cell shown.